Below is TbCu2Au after structural relaxation, with properties calculated at the GGA-PBE level.

Fermi-level density of states: 0.63 states/eV/atom
total energy: -4.35 eV/atom
magnetic moment: 0.0 μB per cell
crystal system: cubic

a b c (Å): 6.5416 6.5416 6.5416
angles (deg): 90.00 90.00 90.00
With the nearest neighbours (Å) after each atom.
Space group Fm-3m (No. 225)
Asymmetric unit:
Tb  0.0000  0.0000  0.0000 [4 per cell]  8 Cu 2.83
Cu  0.2500  0.2500  0.2500 [8 per cell]  4 Tb 2.83, 4 Au 2.83
Au  0.0000  0.0000  0.5000 [4 per cell]  8 Cu 2.83

Below is Sr2ZnP3Pd4 after structural relaxation, with properties calculated at the GGA-PBE level.

Fermi-level density of states: 0.42 states/eV/atom
total energy: -4.92 eV/atom
magnetic moment: 0.0 μB per cell
crystal system: tetragonal

a b c (Å): 4.3231 4.3231 9.9488
angles (deg): 90.00 90.00 90.00
With the nearest neighbours (Å) after each atom.
Space group P-4m2 (No. 115)
Asymmetric unit:
Sr  0.0000  0.5000  0.2486 [2 per cell]  6 P 3.28-3.31, 8 Pd 3.28-3.29, 2 Zn 3.31
Zn  0.0000  0.0000  0.5000 [1 per cell]  4 Pd 2.51
P  0.0000  0.5000  0.8719 [2 per cell]  5 Pd 2.42-2.51
P  0.5000  0.5000  0.5000 [1 per cell]  4 Pd 2.51
Pd  0.0000  0.0000  0.0000 [1 per cell]  4 P 2.51
Pd  0.0000  0.5000  0.6286 [2 per cell]  3 P 2.42-2.51, 2 Zn 2.51
Pd  0.5000  0.5000  0.0000 [1 per cell]  4 P 2.51

Below is Sc8Te4As3C after structural relaxation, with properties calculated at the GGA-PBE level.

Fermi-level density of states: 0.44 states/eV/atom
total energy: -6.58 eV/atom
magnetic moment: 0.0 μB per cell
formation energy from raw total energies: -1182 meV per atom
crystal system: trigonal

a b c (Å): 7.8204 7.8204 19.9252
angles (deg): 90.00 90.00 120.00
With the nearest neighbours (Å) after each atom.
Space group R-3m (No. 166, hexagonal axes)
Asymmetric unit:
Sc  0.0000  0.0000  0.2382 [6 per cell]  3 As 2.67, 3 Te 2.95
Sc  0.0329  0.5165  0.2329 [18 per cell]  1 C 2.43
Te  0.0000  0.0000  0.0000 [3 per cell]  6 Sc 3.19
Te  0.0000  0.5000  0.0000 [9 per cell]  6 Sc 2.94-2.95
As  0.0000  0.5000  0.5000 [9 per cell]  6 Sc 2.67-2.72
C  0.0000  0.0000  0.5000 [3 per cell]  6 Sc 2.43

Below is Mg2CoMo after structural relaxation, with properties calculated at the GGA-PBE level.

Fermi-level density of states: 0.95 states/eV/atom
total energy: -5.17 eV/atom
magnetic moment: 0.0 μB per cell
crystal system: tetragonal
E above lowest polymorph: 0.0 kJ/mol of atoms

a b c (Å): 2.8917 2.8917 7.9242
angles (deg): 90.00 90.00 90.00
With the nearest neighbours (Å) after each atom.
Space group P4mm (No. 99)
Asymmetric unit:
Mg  0.0000  0.0000  0.0000 [1 per cell]  4 Co 2.69, 4 Mg 2.89
Mg  0.5000  0.5000  0.3263 [1 per cell]  4 Mg 2.89, 4 Mo 2.96
Co  0.5000  0.5000  0.7785 [1 per cell]  4 Mo 2.50, 4 Mg 2.69
Mo  0.0000  0.0000  0.5963 [1 per cell]  4 Co 2.50